## Pm4Zn5Rh2 (PBE-GGA)

Data for crystalline Pm4Zn5Rh2 at its relaxed geometry.

Structure (POSCAR):
```
Pm4Zn5Rh2
1.0
7.131 0.000 0.000
0.000 3.825 0.000
-0.693 0.000 9.091
Pm Zn Rh
4 5 2
direct
0.177 0.000 0.364 Pm
0.243 0.000 0.943 Pm
0.757 0.000 0.057 Pm
0.823 0.000 0.636 Pm
0.198 0.500 0.658 Zn
0.447 0.500 0.199 Zn
0.500 0.500 0.500 Zn
0.553 0.500 0.801 Zn
0.802 0.500 0.342 Zn
0.071 0.500 0.148 Rh
0.929 0.500 0.852 Rh
```

Calculated values
As for the symmetry: No. 10. The raw total energy is -44.88 eV/cell.